# 1
A plane-wave DFT calculation with PBE was carried out for crystalline Ca2Ac3Sb3N2 at its relaxed geometry.

abc: 13.2414 13.2414 13.2414
angles: 159.00 159.00 29.88
Sites, in units of the cell vectors:
Ca 0.2500 0.7500 0.5000
Ca 0.7500 0.2500 0.5000
Ac 0.0000 0.0000 0.0000
Ac 0.3667 0.3667 0.0000
Ac 0.6333 0.6333 0.0000
Sb 0.1352 0.1352 0.0000
Sb 0.5000 0.5000 0.0000
Sb 0.8648 0.8648 0.0000
N 0.2779 0.2779 0.0000
N 0.7221 0.7221 0.0000

final energy: -0.404 Ry/atom
magnetization: 0.00 μB/cell
energy relative to the elements, uncorrected: -963 meV/atom



# 2
A plane-wave DFT calculation with PBE was carried out for crystalline Ca2Ac4Sb3N2 at its relaxed geometry.

abc: 13.5486 13.5486 13.5486
angles: 158.07 158.07 31.21
Sites, in units of the cell vectors:
Ca 0.1973 0.1973 0.0000
Ca 0.8027 0.8027 0.0000
Ac 0.0895 0.5895 0.5000
Ac 0.4105 0.9105 0.5000
Ac 0.5895 0.0895 0.5000
Ac 0.9105 0.4105 0.5000
Sb 0.3198 0.3198 0.0000
Sb 0.5000 0.5000 0.0000
Sb 0.6802 0.6802 0.0000
N 0.1070 0.1070 0.0000
N 0.8930 0.8930 0.0000

final energy: -0.406 Ry/atom
magnetization: 0.00 μB/cell
energy relative to the elements, uncorrected: -1033 meV/atom



# 3
A plane-wave DFT calculation with PBE was carried out for crystalline Ca2Ac3Se3N2 at its relaxed geometry.

abc: 13.7655 13.7655 13.7655
angles: 161.13 161.13 26.81
Sites, in units of the cell vectors:
Ca 0.2500 0.7500 0.5000
Ca 0.7500 0.2500 0.5000
Ac 0.0000 0.0000 0.0000
Ac 0.3703 0.3703 0.0000
Ac 0.6297 0.6297 0.0000
Se 0.1194 0.1194 0.0000
Se 0.5000 0.5000 0.0000
Se 0.8806 0.8806 0.0000
N 0.2849 0.2849 0.0000
N 0.7151 0.7151 0.0000

final energy: -0.434 Ry/atom
magnetization: 0.00 μB/cell
energy relative to the elements, uncorrected: -1555 meV/atom